[1]
Computed, not measured: a relaxed structure of Nb5Ga6 at the GGA-PBE level of DFT.

Cell: 6.3176 6.3176 6.6876 Å, 98.72 98.72 130.02°
Fractional coordinates of all 11 atoms:
Nb 0.0000 0.0000 0.0000
Nb 0.2787 0.7213 0.0000
Nb 0.3481 0.6519 0.5000
Nb 0.6519 0.3481 0.5000
Nb 0.7213 0.2787 0.0000
Ga 0.0866 0.8132 0.3067
Ga 0.1868 0.9134 0.6933
Ga 0.4613 0.4613 0.7965
Ga 0.5387 0.5387 0.2035
Ga 0.8132 0.0866 0.3067
Ga 0.9134 0.1868 0.6933

Crystal system: monoclinic
Energy relative to the elements, eV per atom: -0.17
Total energy, eV/f.u.: -70.39

[2]
Computed, not measured: a relaxed structure of K4Pu3ZnO12 at the GGA-PBE level of DFT.

Cell: 7.3155 7.3155 7.3155 Å, 109.47 109.47 109.47°
Fractional coordinates of all 20 atoms:
K 0.0000 0.0000 0.5000
K 0.0000 0.5000 0.0000
K 0.5000 0.0000 0.0000
K 0.5000 0.5000 0.5000
Pu 0.0000 0.5000 0.5000
Pu 0.5000 0.0000 0.5000
Pu 0.5000 0.5000 0.0000
Zn 0.0000 0.0000 0.0000
O 0.0000 0.2661 0.2661
O 0.0000 0.7339 0.7339
O 0.2500 0.5000 0.7500
O 0.2500 0.7500 0.5000
O 0.2661 0.0000 0.2661
O 0.2661 0.2661 0.0000
O 0.5000 0.2500 0.7500
O 0.5000 0.7500 0.2500
O 0.7339 0.0000 0.7339
O 0.7339 0.7339 0.0000
O 0.7500 0.2500 0.5000
O 0.7500 0.5000 0.2500

Raw formation energy, eV per atom: -2.278
Crystal system: cubic
Total energy, eV/f.u.: -153.71

[3]
Computed, not measured: a relaxed structure of Pm3CuRh at the GGA-PBE level of DFT.

Cell: 6.7238 4.0067 9.6246 Å, 90.00 90.05 90.00°
Fractional coordinates of all 10 atoms:
Pm 0.2306 0.2500 0.0605
Pm 0.2306 0.2500 0.4396
Pm 0.2562 0.7500 0.7501
Pm 0.7438 0.2500 0.2499
Pm 0.7694 0.7500 0.5604
Pm 0.7694 0.7500 0.9395
Cu 0.4322 0.7500 0.2501
Cu 0.5678 0.2500 0.7499
Rh 0.0389 0.7500 0.2499
Rh 0.9611 0.2500 0.7501

Crystal system: monoclinic
Energy relative to the elements, eV per atom: -0.36
Total energy, eV/f.u.: -27.52

[4]
Computed, not measured: a relaxed structure of CaHoCu2S4 at the GGA-PBE level of DFT.

Cell: 5.9526 5.9526 5.9526 Å, 112.84 112.84 102.92°
Fractional coordinates of all 8 atoms:
Ca 0.0000 0.0000 0.0000
Ho 0.5000 0.5000 0.0000
Cu 0.2500 0.7500 0.5000
Cu 0.7500 0.2500 0.5000
S 0.0482 0.0482 0.5547
S 0.4935 0.4935 0.4453
S 0.5065 0.9518 0.0000
S 0.9518 0.5065 0.0000

Raw formation energy, eV per atom: -1.120
Crystal system: tetragonal
Total energy, eV/f.u.: -40.24

[5]
Computed, not measured: a relaxed structure of Ho2ZrTi at the GGA-PBE level of DFT.

Cell: 11.3706 11.3706 11.3706 Å, 16.50 16.50 16.50°
Fractional coordinates of all 4 atoms:
Ho 0.0870 0.0870 0.0870
Ho 0.9130 0.9130 0.9130
Zr 0.5000 0.5000 0.5000
Ti 0.0000 0.0000 0.0000

Crystal system: trigonal
Energy relative to the elements, eV per atom: 0.40
Total energy, eV/f.u.: -24.00

[6]
Computed, not measured: a relaxed structure of HoHRh at the GGA-PBE level of DFT.

Cell: 4.4390 11.3518 3.5882 Å, 90.00 90.00 90.00°
Fractional coordinates of all 12 atoms:
Ho 0.2464 0.1288 0.0000
Ho 0.2536 0.6288 0.5000
Ho 0.7464 0.3712 0.5000
Ho 0.7536 0.8712 0.0000
H 0.0128 0.3028 0.0000
H 0.4872 0.8028 0.5000
H 0.5128 0.1972 0.5000
H 0.9872 0.6972 0.0000
Rh 0.2329 0.9158 0.5000
Rh 0.2671 0.4158 0.0000
Rh 0.7329 0.5842 0.0000
Rh 0.7671 0.0842 0.5000

Energy relative to the lowest polymorph listed for this composition, meV per atom: 14
Crystal system: orthorhombic
Total energy, eV/f.u.: -17.43